1.
Computed, not measured: crystalline ZnP14Pb at its relaxed geometry at the PBE-GGA level of DFT.

Computed properties:
Relative energy among the computed polymorphs = 0 meV/atom
Calculated density = 3368 kg/m3

a = 13.086 Å, b = 9.865 Å, c = 10.790 Å
α = 90.00°, β = 90.00°, γ = 90.00°
Space group Pnma (No. 62)
Symmetry-distinct sites (fractional):
1 Zn 0.174 0.250 0.006 [4 per cell]
2 P 0.025 0.578 0.149 [8 per cell]
3 P 0.028 0.250 0.154 [4 per cell]
4 P 0.050 0.750 0.278 [4 per cell]
5 P 0.058 0.083 0.287 [8 per cell]
6 P 0.085 0.578 0.589 [8 per cell]
7 P 0.092 0.250 0.605 [4 per cell]
8 P 0.141 0.054 0.875 [8 per cell]
9 P 0.181 0.750 0.651 [4 per cell]
10 P 0.184 0.079 0.679 [8 per cell]
11 Pb 0.179 0.750 0.914 [4 per cell]



2.
Computed, not measured: crystalline ZnP2Pb at its relaxed geometry at the PBE-GGA level of DFT.

Computed properties:
Calculated density = 6451 kg/m3
Total DFT energy (no corrections) = -14.79 eV for the cell shown
D(E_F) = 1.6 states/eV per cell

a = 4.332 Å, b = 4.071 Å, c = 4.977 Å
α = 90.00°, β = 101.11°, γ = 90.00°
Space group Pm (No. 6)
Symmetry-distinct sites (fractional):
1 Zn 0.000 0.000 0.000 [1 per cell]
2 P 0.317 0.500 0.876 [1 per cell]
3 P 0.479 0.000 0.707 [1 per cell]
4 Pb 0.819 0.500 0.388 [1 per cell]



3.
Computed, not measured: crystalline ZnP4Pb at its relaxed geometry at the PBE-GGA level of DFT.

Computed properties:
Calculated density = 4874 kg/m3
Total DFT energy (no corrections) = -95.95 eV for the cell shown
D(E_F) = 20.7 states/eV per cell

a = 8.145 Å, b = 8.145 Å, c = 8.145 Å
α = 90.00°, β = 90.00°, γ = 90.00°
Space group F-43m (No. 216)
Symmetry-distinct sites (fractional):
1 Zn 0.000 0.000 0.000 [4 per cell]
2 P 0.152 0.152 0.348 [16 per cell]
3 Pb 0.250 0.250 0.750 [4 per cell]



4.
Computed, not measured: crystalline ZnP2Pb at its relaxed geometry at the PBE-GGA level of DFT.

Computed properties:
Calculated density = 6245 kg/m3
Total DFT energy (no corrections) = -15.34 eV for the cell shown
D(E_F) = 1.4 states/eV per cell

a = 4.920 Å, b = 3.764 Å, c = 4.940 Å
α = 90.00°, β = 103.47°, γ = 90.00°
Space group P2/m (No. 10)
Symmetry-distinct sites (fractional):
1 Zn 0.000 0.000 0.000 [1 per cell]
2 P 0.120 0.500 0.713 [2 per cell]
3 Pb 0.500 0.000 0.500 [1 per cell]



5.
Computed, not measured: crystalline Zn3PPb at its relaxed geometry at the PBE-GGA level of DFT.

Computed properties:
Relative energy among the computed polymorphs = 0 meV/atom
Calculated density = 6593 kg/m3
D(E_F) = 3.7 states/eV per cell

a = 4.783 Å, b = 4.783 Å, c = 4.783 Å
α = 90.00°, β = 90.00°, γ = 90.00°
Space group Pm-3m (No. 221)
Symmetry-distinct sites (fractional):
1 Zn 0.000 0.000 0.500 [3 per cell]
2 P 0.000 0.000 0.000 [1 per cell]
3 Pb 0.500 0.500 0.500 [1 per cell]



6.
Computed, not measured: crystalline Zn2PPb at its relaxed geometry at the PBE-GGA level of DFT.

Computed properties:
Calculated density = 7282 kg/m3
Total DFT energy (no corrections) = -21.63 eV for the cell shown
D(E_F) = 3.0 states/eV per cell

a = 3.681 Å, b = 5.604 Å, c = 8.159 Å
α = 90.00°, β = 90.00°, γ = 90.00°
Space group Immm (No. 71)
Symmetry-distinct sites (fractional):
1 Zn 0.000 0.000 0.203 [4 per cell]
2 P 0.000 0.500 0.500 [2 per cell]
3 Pb 0.000 0.500 0.000 [2 per cell]



7.
Computed, not measured: crystalline ZnP2Pb at its relaxed geometry at the PBE-GGA level of DFT.

Computed properties:
Calculated density = 6577 kg/m3
Total DFT energy (no corrections) = -29.80 eV for the cell shown
D(E_F) = 3.2 states/eV per cell

a = 3.290 Å, b = 5.495 Å, c = 9.345 Å
α = 90.00°, β = 90.00°, γ = 90.00°
Space group Imm2 (No. 44)
Symmetry-distinct sites (fractional):
1 Zn 0.000 0.000 0.000 [2 per cell]
2 P 0.000 0.000 0.606 [2 per cell]
3 P 0.000 0.500 0.271 [2 per cell]
4 Pb 0.000 0.500 0.777 [2 per cell]



8.
Computed, not measured: crystalline ZnPPb at its relaxed geometry at the PBE-GGA level of DFT.

Computed properties:
Relative energy among the computed polymorphs = 24 meV/atom
Calculated density = 7427 kg/m3
D(E_F) = 2.9 states/eV per cell

a = 3.9771 Å, b = 3.9771 Å, c = 9.9108 Å
α = 90.00°, β = 90.00°, γ = 120.00°
Space group P6_3mc (No. 186)
Symmetry-distinct sites (fractional):
1 Zn 0.3333 0.6667 0.0000 [2 per cell]
2 P 0.3333 0.6667 0.5574 [2 per cell]
3 Pb 0.0000 0.0000 0.2749 [2 per cell]



9.
Computed, not measured: crystalline ZnP2Pb at its relaxed geometry at the PBE-GGA level of DFT.

Computed properties:
Calculated density = 6949 kg/m3
Total DFT energy (no corrections) = -54.93 eV for the cell shown
D(E_F) = 10.1 states/eV per cell

a = 6.839 Å, b = 6.839 Å, c = 6.839 Å
α = 90.00°, β = 90.00°, γ = 90.00°
Space group Fm-3m (No. 225)
Symmetry-distinct sites (fractional):
1 Zn 0.000 0.000 0.000 [4 per cell]
2 P 0.250 0.250 0.250 [8 per cell]
3 Pb 0.000 0.000 0.500 [4 per cell]



10.
Computed, not measured: crystalline ZnP2Pb at its relaxed geometry at the PBE-GGA level of DFT.

Computed properties:
Calculated density = 6982 kg/m3
Total DFT energy (no corrections) = -13.56 eV for the cell shown
D(E_F) = 2.0 states/eV per cell

a = 3.725 Å, b = 4.540 Å, c = 4.705 Å
α = 90.00°, β = 90.00°, γ = 90.00°
Space group Pmmm (No. 47)
Symmetry-distinct sites (fractional):
1 Zn 0.000 0.000 0.000 [1 per cell]
2 P 0.000 0.500 0.500 [1 per cell]
3 P 0.500 0.000 0.500 [1 per cell]
4 Pb 0.500 0.500 0.000 [1 per cell]



11.
Computed, not measured: crystalline ZnP2Pb at its relaxed geometry at the PBE-GGA level of DFT.

Computed properties:
Calculated density = 6567 kg/m3
Total DFT energy (no corrections) = -14.99 eV for the cell shown
D(E_F) = 1.5 states/eV per cell

a = 3.441 Å, b = 3.441 Å, c = 7.146 Å
α = 90.00°, β = 90.00°, γ = 90.00°
Space group P4mm (No. 99)
Symmetry-distinct sites (fractional):
1 Zn 0.000 0.000 0.000 [1 per cell]
2 P 0.000 0.000 0.328 [1 per cell]
3 P 0.500 0.500 0.377 [1 per cell]
4 Pb 0.500 0.500 0.769 [1 per cell]



12.
Computed, not measured: crystalline ZnP2Pb at its relaxed geometry at the PBE-GGA level of DFT.

Computed properties:
Calculated density = 6751 kg/m3
Total DFT energy (no corrections) = -28.44 eV for the cell shown
D(E_F) = 4.5 states/eV per cell

a = 5.459 Å, b = 5.459 Å, c = 5.523 Å
α = 90.00°, β = 90.00°, γ = 90.00°
Space group I4/mmm (No. 139)
Symmetry-distinct sites (fractional):
1 Zn 0.000 0.000 0.000 [2 per cell]
2 P 0.000 0.500 0.000 [4 per cell]
3 Pb 0.000 0.000 0.500 [2 per cell]



13.
Computed, not measured: crystalline Zn2PPb at its relaxed geometry at the PBE-GGA level of DFT.

Computed properties:
Calculated density = 7140 kg/m3
Total DFT energy (no corrections) = -11.29 eV for the cell shown
D(E_F) = 1.3 states/eV per cell

a = 3.854 Å, b = 3.854 Å, c = 5.777 Å
α = 90.00°, β = 90.00°, γ = 90.00°
Space group P4mm (No. 99)
Symmetry-distinct sites (fractional):
1 Zn 0.000 0.500 0.000 [2 per cell]
2 P 0.000 0.000 0.741 [1 per cell]
3 Pb 0.500 0.500 0.430 [1 per cell]



14.
Computed, not measured: crystalline Zn3PPb at its relaxed geometry at the PBE-GGA level of DFT.

Computed properties:
Relative energy among the computed polymorphs = 674 meV/atom
Calculated density = 4981 kg/m3
D(E_F) = 3.5 states/eV per cell

a = 5.252 Å, b = 5.252 Å, c = 5.252 Å
α = 90.00°, β = 90.00°, γ = 90.00°
Space group Pm-3m (No. 221)
Symmetry-distinct sites (fractional):
1 Zn 0.000 0.000 0.500 [3 per cell]
2 P 0.500 0.500 0.500 [1 per cell]
3 Pb 0.000 0.000 0.000 [1 per cell]



15.
Computed, not measured: crystalline ZnP2Pb at its relaxed geometry at the PBE-GGA level of DFT.

Computed properties:
Calculated density = 6494 kg/m3
Total DFT energy (no corrections) = -28.98 eV for the cell shown
D(E_F) = 4.5 states/eV per cell

a = 3.989 Å, b = 5.859 Å, c = 7.320 Å
α = 90.00°, β = 90.00°, γ = 90.00°
Space group Immm (No. 71)
Symmetry-distinct sites (fractional):
1 Zn 0.000 0.000 0.000 [2 per cell]
2 P 0.000 0.500 0.315 [4 per cell]
3 Pb 0.000 0.000 0.500 [2 per cell]



16.
Computed, not measured: crystalline ZnPPb at its relaxed geometry at the PBE-GGA level of DFT.

Computed properties:
Relative energy among the computed polymorphs = 173 meV/atom
Calculated density = 7073 kg/m3
D(E_F) = 3.5 states/eV per cell

a = 3.481 Å, b = 3.481 Å, c = 11.767 Å
α = 90.00°, β = 90.00°, γ = 90.00°
Space group I4mm (No. 107)
Symmetry-distinct sites (fractional):
1 Zn 0.000 0.000 0.000 [2 per cell]
2 P 0.000 0.000 0.503 [2 per cell]
3 Pb 0.000 0.000 0.270 [2 per cell]



17.
Computed, not measured: crystalline ZnP2Pb at its relaxed geometry at the PBE-GGA level of DFT.

Computed properties:
Calculated density = 6859 kg/m3
Total DFT energy (no corrections) = -27.53 eV for the cell shown
D(E_F) = 4.3 states/eV per cell

a = 5.656 Å, b = 7.507 Å, c = 3.815 Å
α = 90.00°, β = 90.00°, γ = 90.00°
Space group Cmmm (No. 65)
Symmetry-distinct sites (fractional):
1 Zn 0.000 0.000 0.000 [2 per cell]
2 P 0.250 0.250 0.500 [4 per cell]
3 Pb 0.000 0.500 0.000 [2 per cell]



18.
Computed, not measured: crystalline ZnP2Pb at its relaxed geometry at the PBE-GGA level of DFT.

Computed properties:
Calculated density = 7002 kg/m3
Total DFT energy (no corrections) = -54.11 eV for the cell shown
D(E_F) = 6.9 states/eV per cell

a = 6.821 Å, b = 6.821 Å, c = 6.821 Å
α = 90.00°, β = 90.00°, γ = 90.00°
Space group F-43m (No. 216)
Symmetry-distinct sites (fractional):
1 Zn 0.000 0.000 0.000 [4 per cell]
2 P 0.000 0.000 0.500 [4 per cell]
3 P 0.250 0.250 0.250 [4 per cell]
4 Pb 0.250 0.250 0.750 [4 per cell]



19.
Computed, not measured: crystalline Zn2PPb at its relaxed geometry at the PBE-GGA level of DFT.

Computed properties:
Calculated density = 7366 kg/m3
Total DFT energy (no corrections) = -21.34 eV for the cell shown
D(E_F) = 3.5 states/eV per cell

a = 3.973 Å, b = 5.561 Å, c = 7.529 Å
α = 90.00°, β = 90.00°, γ = 90.00°
Space group Cmmm (No. 65)
Symmetry-distinct sites (fractional):
1 Zn 0.000 0.000 0.195 [4 per cell]
2 P 0.000 0.500 0.000 [2 per cell]
3 Pb 0.000 0.500 0.500 [2 per cell]



20.
Computed, not measured: crystalline Zn2PPb at its relaxed geometry at the PBE-GGA level of DFT.

Computed properties:
Calculated density = 6982 kg/m3
Total DFT energy (no corrections) = -22.54 eV for the cell shown
D(E_F) = 1.9 states/eV per cell

a = 5.940 Å, b = 7.920 Å, c = 3.731 Å
α = 90.00°, β = 90.00°, γ = 90.00°
Space group Cmmm (No. 65)
Symmetry-distinct sites (fractional):
1 Zn 0.000 0.197 0.000 [4 per cell]
2 P 0.000 0.000 0.500 [2 per cell]
3 Pb 0.000 0.500 0.500 [2 per cell]



21.
Computed, not measured: crystalline Zr2PPb at its relaxed geometry at the PBE-GGA level of DFT.

Computed properties:
Relative energy among the computed polymorphs = 901 meV/atom
Calculated density = 5757 kg/m3
D(E_F) = 11.8 states/eV per cell

a = 6.173 Å, b = 6.173 Å, c = 12.735 Å
α = 90.00°, β = 90.00°, γ = 90.00°
Space group I-42d (No. 122)
Symmetry-distinct sites (fractional):
1 Zr 0.196 0.250 0.125 [8 per cell]
2 P 0.000 0.000 0.000 [4 per cell]
3 Pb 0.000 0.000 0.500 [4 per cell]



22.
Computed, not measured: crystalline ZrP2Pb at its relaxed geometry at the PBE-GGA level of DFT.

Computed properties:
Calculated density = 6615 kg/m3
Total DFT energy (no corrections) = -75.34 eV for the cell shown
D(E_F) = 3.0 states/eV per cell

a = 3.8121 Å, b = 3.8121 Å, c = 21.5638 Å
α = 90.00°, β = 90.00°, γ = 120.00°
Space group R3m (No. 160, hexagonal axes)
Symmetry-distinct sites (fractional):
1 Zr 0.0000 0.0000 0.0000 [3 per cell]
2 P 0.0000 0.0000 0.4017 [3 per cell]
3 P 0.0000 0.0000 0.5938 [3 per cell]
4 Pb 0.0000 0.0000 0.8334 [3 per cell]



23.
Computed, not measured: crystalline Zr2PPb at its relaxed geometry at the PBE-GGA level of DFT.

Computed properties:
Relative energy among the computed polymorphs = 540 meV/atom
Calculated density = 8385 kg/m3
D(E_F) = 6.9 states/eV per cell

a = 6.223 Å, b = 7.301 Å, c = 3.666 Å
α = 90.00°, β = 90.00°, γ = 90.00°
Space group Cmmm (No. 65)
Symmetry-distinct sites (fractional):
1 Zr 0.250 0.250 0.000 [4 per cell]
2 P 0.000 0.000 0.500 [2 per cell]
3 Pb 0.000 0.500 0.500 [2 per cell]



24.
Computed, not measured: crystalline ZrP2Pb at its relaxed geometry at the PBE-GGA level of DFT.

Computed properties:
Calculated density = 7421 kg/m3
Total DFT energy (no corrections) = -46.95 eV for the cell shown
D(E_F) = 4.0 states/eV per cell

a = 3.964 Å, b = 3.964 Å, c = 10.263 Å
α = 90.00°, β = 90.00°, γ = 90.00°
Space group I-4m2 (No. 119)
Symmetry-distinct sites (fractional):
1 Zr 0.000 0.000 0.000 [2 per cell]
2 P 0.000 0.000 0.500 [2 per cell]
3 P 0.000 0.500 0.750 [2 per cell]
4 Pb 0.000 0.500 0.250 [2 per cell]



25.
Computed, not measured: crystalline ZrPPb2 at its relaxed geometry at the PBE-GGA level of DFT.

Computed properties:
Calculated density = 9151 kg/m3
Total DFT energy (no corrections) = -60.81 eV for the cell shown
D(E_F) = 11.8 states/eV per cell

a = 3.6713 Å, b = 3.6713 Å, c = 25.0267 Å
α = 90.00°, β = 90.00°, γ = 120.00°
Space group R-3m (No. 166, hexagonal axes)
Symmetry-distinct sites (fractional):
1 Zr 0.0000 0.0000 0.0000 [3 per cell]
2 P 0.0000 0.0000 0.5000 [3 per cell]
3 Pb 0.0000 0.0000 0.2394 [6 per cell]



26.
Computed, not measured: crystalline Zr3PPb at its relaxed geometry at the PBE-GGA level of DFT.

Computed properties:
Relative energy among the computed polymorphs = 166 meV/atom
Calculated density = 7152 kg/m3
D(E_F) = 6.1 states/eV per cell

a = 4.917 Å, b = 4.917 Å, c = 4.917 Å
α = 90.00°, β = 90.00°, γ = 90.00°
Space group Pm-3m (No. 221)
Symmetry-distinct sites (fractional):
1 Zr 0.000 0.000 0.500 [3 per cell]
2 P 0.000 0.000 0.000 [1 per cell]
3 Pb 0.500 0.500 0.500 [1 per cell]